--- 1 ---
First-principles (PBE-GGA) data for crystalline Nd8NiRh2 at its relaxed geometry, as listed in the Alexandria database.

Cell: 7.9530 7.9530 6.0864 Å, 100.94 100.94 116.79°
Positions (direct):
Nd1 0.0945 0.3429 0.5760
Nd2 0.2160 0.7840 0.0000
Nd3 0.3429 0.0945 0.5760
Nd4 0.3590 0.3590 0.1616
Nd5 0.6410 0.6410 0.8384
Nd6 0.6571 0.9055 0.4240
Nd7 0.7840 0.2160 0.0000
Nd8 0.9055 0.6571 0.4240
Ni1 0.0000 0.0000 0.0000
Rh1 0.2906 0.7094 0.5000
Rh2 0.7094 0.2906 0.5000

---

--- 2 ---
First-principles (PBE-GGA) data for crystalline Nd8NiRh2 at its relaxed geometry, as listed in the Alexandria database.

Cell: 7.5630 7.5630 6.4720 Å, 101.65 101.65 110.07°
Positions (direct):
Nd1 0.0000 0.0000 0.0000
Nd2 0.0075 0.2775 0.5825
Nd3 0.1746 0.5511 0.2070
Nd4 0.2775 0.0075 0.5825
Nd5 0.4398 0.7112 0.8385
Nd6 0.5511 0.1746 0.2070
Nd7 0.7112 0.4398 0.8385
Nd8 0.7190 0.7190 0.4000
Ni1 0.3520 0.3520 0.9746
Rh1 0.0406 0.6716 0.6988
Rh2 0.6716 0.0406 0.6988

---

Most stable to least stable, the ends of the list are 2 and 1.

---

--- 1 ---
First-principles (PBE-GGA) data for crystalline NdThNiRh at its relaxed geometry, as listed in the Alexandria database.

Cell: 4.2352 3.8278 11.1909 Å, 90.00 90.00 90.00°
Positions (direct):
Nd1 0.0000 0.0000 0.0000
Nd2 0.0000 0.5000 0.5000
Th1 0.5000 0.0000 0.7307
Th2 0.5000 0.5000 0.2307
Ni1 0.5000 0.0000 0.4438
Ni2 0.5000 0.5000 0.9438
Rh1 0.0000 0.0000 0.2689
Rh2 0.0000 0.5000 0.7689

---

--- 2 ---
First-principles (PBE-GGA) data for crystalline NdThNiRh at its relaxed geometry, as listed in the Alexandria database.

Cell: 7.0675 7.0675 7.0675 Å, 90.00 90.00 90.00°
Positions (direct):
Nd1 0.0000 0.0000 0.0000
Nd2 0.0000 0.5000 0.5000
Nd3 0.5000 0.0000 0.5000
Nd4 0.5000 0.5000 0.0000
Th1 0.0000 0.0000 0.5000
Th2 0.0000 0.5000 0.0000
Th3 0.5000 0.0000 0.0000
Th4 0.5000 0.5000 0.5000
Ni1 0.2500 0.2500 0.2500
Ni2 0.2500 0.7500 0.7500
Ni3 0.7500 0.2500 0.7500
Ni4 0.7500 0.7500 0.2500
Rh1 0.2500 0.2500 0.7500
Rh2 0.2500 0.7500 0.2500
Rh3 0.7500 0.2500 0.2500
Rh4 0.7500 0.7500 0.7500

---

Most stable to least stable, the ends of the list are 1 and 2.